## Th2P3Ir12Pt (PBE-GGA)

Data for a relaxed structure of Th2P3Ir12Pt.

Cell and atoms, written as POSCAR:
```
Th2P3Ir12Pt
1.0
7.433 -0.411 -0.291
3.314 6.666 -0.291
3.314 1.929 6.388
Th P Ir Pt
2 3 12 1
Direct
0.605 0.605 0.605
0.395 0.395 0.395
0.500 0.000 0.000
0.000 0.500 0.000
0.000 0.000 0.500
0.345 0.345 0.907
0.860 0.860 0.380
0.380 0.860 0.860
0.907 0.345 0.345
0.860 0.380 0.860
0.345 0.907 0.345
0.655 0.655 0.093
0.140 0.140 0.620
0.620 0.140 0.140
0.093 0.655 0.655
0.140 0.620 0.140
0.655 0.093 0.655
0.000 0.000 0.000
```

formation energy	-0.028	eV per formula unit
uncorrected energy	-7.971	eV/atom
total magnetization	0.000	μB/f.u.

***

## Pr2YTa (PBE-GGA)

Data for a relaxed structure of Pr2YTa.

Cell and atoms, written as POSCAR:
```
Pr2YTa
1.0
-1.789 2.814 0.000
-2.858 0.159 -1.710
-7.600 -2.857 9.185
Pr Y Ta
2 1 1
Direct
0.081 0.081 0.756
0.919 0.919 0.244
0.500 0.500 0.500
0.000 0.000 0.000
```

formation energy	2.745	eV per formula unit
uncorrected energy	-6.283	eV/atom
total magnetization	0.002	μB/f.u.

***

## OsPb (PBE-GGA)

Data for a relaxed structure of OsPb.

Cell and atoms, written as POSCAR:
```
OsPb
1.0
-8.773 -1.693 6.977
1.523 -5.070 0.685
2.503 1.217 3.443
Os Pb
6 6
Direct
0.277 0.590 0.000
0.777 0.410 0.500
0.223 0.410 0.500
0.723 0.590 0.000
0.000 0.191 0.500
0.500 0.809 0.000
0.851 0.079 0.000
0.351 0.921 0.500
0.649 0.921 0.500
0.149 0.079 0.000
0.000 0.688 0.500
0.500 0.312 0.000
```

formation energy	1.631	eV per formula unit
uncorrected energy	-6.654	eV/atom
total magnetization	0.000	μB/f.u.